! Pb3W5N12 | Alexandria via LeMat-Bulk | GGA-PBE | optimized geometry; values from VASP
! D(E_F) = 0.046 states/eV per atom
! E_tot = -8.8200 eV per atom
! mass density = 9.8 g/cm3
! SG = No. 230
! uncorrected formation energy = -30 meV per atom
! crystal system = cubic
&SYSTEM
  ibrav = 0, nat = 80, ntyp = 3
/
ATOMIC_SPECIES
Pb 207.20 Pb.upf
W 183.84 W.upf
N 14.01 N.upf
ATOMIC_POSITIONS crystal
Pb 0.750 0.375 0.125
Pb 0.875 0.750 0.125
Pb 0.375 0.750 0.625
Pb 0.250 0.125 0.375
Pb 0.875 0.125 0.250
Pb 0.375 0.625 0.250
Pb 0.625 0.375 0.750
Pb 0.125 0.875 0.750
Pb 0.750 0.875 0.625
Pb 0.625 0.250 0.375
Pb 0.125 0.250 0.875
Pb 0.250 0.625 0.875
W 0.125 0.375 0.250
W 0.000 0.500 0.000
W 0.000 0.000 0.000
W 0.375 0.250 0.125
W 0.500 0.000 0.500
W 0.500 0.500 0.000
W 0.125 0.750 0.375
W 0.750 0.125 0.875
W 0.750 0.625 0.375
W 0.375 0.125 0.750
W 0.625 0.875 0.250
W 0.500 0.500 0.500
W 0.500 0.000 0.000
W 0.000 0.000 0.500
W 0.250 0.375 0.625
W 0.250 0.875 0.125
W 0.000 0.500 0.500
W 0.875 0.250 0.625
W 0.625 0.750 0.875
W 0.875 0.625 0.750
N 0.684 0.105 0.002
N 0.317 0.502 0.396
N 0.998 0.395 0.316
N 0.502 0.184 0.105
N 0.579 0.684 0.683
N 0.998 0.604 0.183
N 0.317 0.816 0.421
N 0.104 0.921 0.105
N 0.604 0.998 0.683
N 0.684 0.579 0.183
N 0.816 0.498 0.395
N 0.817 0.896 0.002
N 0.105 0.684 0.502
N 0.395 0.396 0.079
N 0.079 0.896 0.395
N 0.421 0.105 0.604
N 0.079 0.183 0.184
N 0.498 0.683 0.104
N 0.817 0.921 0.316
N 0.105 0.421 0.104
N 0.395 0.998 0.816
N 0.604 0.605 0.421
N 0.896 0.817 0.502
N 0.816 0.317 0.921
N 0.396 0.395 0.579
N 0.104 0.183 0.498
N 0.184 0.683 0.079
N 0.183 0.079 0.684
N 0.605 0.002 0.184
N 0.895 0.579 0.896
N 0.502 0.317 0.896
N 0.579 0.895 0.396
N 0.921 0.817 0.816
N 0.921 0.104 0.605
N 0.895 0.316 0.498
N 0.183 0.104 0.998
N 0.605 0.604 0.921
N 0.396 0.002 0.317
N 0.316 0.421 0.817
N 0.184 0.502 0.605
N 0.896 0.079 0.895
N 0.683 0.184 0.579
N 0.498 0.816 0.895
N 0.002 0.396 0.817
N 0.421 0.316 0.317
N 0.002 0.605 0.684
N 0.683 0.498 0.604
N 0.316 0.895 0.998
CELL_PARAMETERS angstrom
11.464 0.000 0.000
-3.821 10.809 0.000
-3.821 -5.404 9.361